Compound: LiInPO4
Source: Alexandria via LeMat-Bulk
Functional: PBE
Structure: optimized geometry

Output
Crystal system ... orthorhombic
Theoretical density ... 4.44 g/cm³
V ... 11.57 Å³ per atom
Total magnetization ... 0.00 μB per formula unit
E ... -6.07 eV per atom
D(E_F) ... 2.68 states/eV/cell
Formation energy from raw total energies ... -1.8042 eV per atom

Cell: 6.096 6.096 6.096 Å, 120.37 118.04 91.40°
Fractional positions:
Li 0.000 0.000 0.000
Li 0.500 0.000 0.500
In 0.500 0.000 0.000
In 0.500 0.500 0.500
P 0.125 0.375 0.750
P 0.875 0.625 0.250
O 0.188 0.735 0.453
O 0.217 0.265 0.953
O 0.228 0.263 0.536
O 0.228 0.692 0.964
O 0.772 0.308 0.036
O 0.772 0.737 0.464
O 0.783 0.735 0.047
O 0.812 0.265 0.547

---

Compound: V2CrH2
Source: Alexandria via LeMat-Bulk
Functional: PBE
Structure: optimized geometry

Output
Crystal system ... triclinic
Theoretical density ... 5.97 g/cm³
V ... 8.67 Å³ per atom
Total magnetization ... 0.00 μB per formula unit
E ... -7.00 eV per atom
D(E_F) ... 4.24 states/eV/cell
Relative energy among the computed polymorphs ... 0.038 eV/atom

Cell: 4.365 5.024 5.052 Å, 96.48 113.31 115.09°
Fractional positions:
V 0.102 0.416 0.266
V 0.259 0.241 0.767
V 0.741 0.759 0.233
V 0.898 0.584 0.734
Cr 0.388 0.091 0.234
Cr 0.612 0.909 0.766
H 0.130 0.744 0.511
H 0.277 0.711 0.113
H 0.723 0.289 0.887
H 0.870 0.256 0.489

---

Compound: RbAlIr3
Source: Alexandria via LeMat-Bulk
Functional: PBE
Structure: optimized geometry

Output
Crystal system ... cubic
Theoretical density ... 10.10 g/cm³
V ... 22.67 Å³ per atom
Total magnetization ... 1.12 μB per formula unit
Energy relative to the elements ... 3.127 eV/atom
E ... -3.13 eV per atom
D(E_F) ... 6.85 states/eV/cell
Relative energy among the computed polymorphs ... 2.006 eV/atom

Cell: 4.840 4.840 4.840 Å, 90.00 90.00 90.00°
Fractional positions:
Rb 0.000 0.000 0.000
Al 0.500 0.500 0.500
Ir 0.000 0.000 0.500
Ir 0.000 0.500 0.000
Ir 0.500 0.000 0.000

---

Compound: HoAg2Au2
Source: Alexandria via LeMat-Bulk
Functional: PBE
Structure: optimized geometry

Output
Crystal system ... monoclinic
Theoretical density ... 13.21 g/cm³
V ... 19.48 Å³ per atom
Total magnetization ... 0.00 μB per formula unit
Energy relative to the elements ... -0.445 eV/atom
E ... -3.81 eV per atom
D(E_F) ... 1.42 states/eV/cell
Relative energy among the computed polymorphs ... 0.000 eV/atom

Cell: 5.195 5.195 6.758 Å, 129.46 129.46 48.03°
Fractional positions:
Ho 0.000 0.000 0.000
Ag 0.194 0.194 0.596
Ag 0.806 0.806 0.404
Au 0.405 0.405 0.202
Au 0.595 0.595 0.798